Material: Er3P4Pd7
Method: DFT, GGA-PBEsol
State: relaxed

## Properties
Fermi-level density of states ... 15.9 states/eV/cell
Volume ... 444.6 Å³/cell
Total DFT energy (no corrections) ... -6.753 eV per atom
Spin magnetization ... 0.0 μB per cell
Calculated formation energy ... -1.063 eV/atom

Structure (CIF):
```
data_Er3P4Pd7
_space_group_name_H-M_alt 'C 1 2/m 1'
_space_group_IT_number 12
_cell_length_a 15.067
_cell_length_b 3.922
_cell_length_c 9.235
_cell_angle_alpha 90.00
_cell_angle_beta 125.43
_cell_angle_gamma 90.00
loop_
_space_group_symop_operation_xyz
'x,y,z'
'-x,-y,-z'
'-x,y,-z'
'x,-y,z'
'x+1/2,y+1/2,z'
'-x+1/2,-y+1/2,-z'
'-x+1/2,y+1/2,-z'
'x+1/2,-y+1/2,z'
loop_
_atom_site_label
_atom_site_type_symbol
_atom_site_fract_x
_atom_site_fract_y
_atom_site_fract_z
Er1 Er 0.000 0.000 0.000
Er2 Er 0.180 0.500 0.677
P1 P 0.107 0.000 0.821
P2 P 0.159 0.500 0.253
Pd1 Pd 0.000 0.000 0.500
Pd2 Pd 0.010 0.500 0.286
Pd3 Pd 0.168 0.000 0.423
Pd4 Pd 0.194 0.500 0.028
```